## ZrScTe2N (PBE)

Data for a relaxed structure of ZrScTe2N.

abc: 5.711 5.711 4.018
angles: 90.00 90.00 90.00
Atoms (fractional coordinates):
Zr  0.000  0.000  0.000
Sc  0.500  0.500  0.500
Te  0.000  0.500  0.000
Te  0.500  0.000  0.000
N  0.000  0.000  0.500

Computed properties:
The crystal system is tetragonal. The density of states at the Fermi level comes out at 3.047 states/eV/f.u. The final energy comes out at -31.0 eV/cell. The formation energy (no corrections) is -0.31 eV per atom. As for the total magnetization: 0.06 μB per atom. The value obtained for the energy above the lowest structure with this stoichiometry is 0.000 eV per atom.

## Tb2ReBr (PBE)

Data for a relaxed structure of Tb2ReBr.

abc: 10.502 10.502 10.502
angles: 17.73 17.73 17.73
Atoms (fractional coordinates):
Tb  0.088  0.088  0.088
Tb  0.912  0.912  0.912
Re  0.000  0.000  0.000
Br  0.500  0.500  0.500

Computed properties:
The crystal system is trigonal. The density of states at the Fermi level comes out at 3.805 states/eV/f.u. The final energy comes out at -22.0 eV/cell. The formation energy (no corrections) is 0.35 eV per atom. As for the total magnetization: 0.14 μB per atom.

## NbNiC (PBE)

Data for a relaxed structure of NbNiC.

abc: 3.238 4.286 4.993
angles: 90.00 90.00 90.00
Atoms (fractional coordinates):
Nb  0.000  0.000  0.000
Nb  0.000  0.500  0.431
Ni  0.500  0.000  0.608
Ni  0.500  0.500  0.916
C  0.500  0.191  0.251
C  0.500  0.809  0.251

Computed properties:
The crystal system is orthorhombic. The density of states at the Fermi level comes out at 1.851 states/eV/f.u. The final energy comes out at -50.4 eV/cell. As for the formation energy: -47.7 meV per atom. As for the total magnetization: 0.00 μB per atom. The value obtained for the energy above the lowest structure with this stoichiometry is 0.192 eV per atom.

## Ce3Sm5N8 (PBE)

Data for a relaxed structure of Ce3Sm5N8.

abc: 7.147 7.147 7.147
angles: 60.06 60.06 60.06
Atoms (fractional coordinates):
Ce  0.000  0.500  0.500
Ce  0.500  0.000  0.500
Ce  0.500  0.500  0.000
Sm  0.000  0.000  0.000
Sm  0.000  0.000  0.500
Sm  0.000  0.500  0.000
Sm  0.500  0.000  0.000
Sm  0.500  0.500  0.500
N  0.250  0.250  0.742
N  0.250  0.742  0.250
N  0.253  0.253  0.253
N  0.258  0.750  0.750
N  0.742  0.250  0.250
N  0.747  0.747  0.747
N  0.750  0.258  0.750
N  0.750  0.750  0.258

Computed properties:
The crystal system is trigonal. The density of states at the Fermi level comes out at 8.637 states/eV/f.u. The final energy comes out at -132.1 eV/cell. The formation energy (no corrections) is -1.51 eV per atom. As for the total magnetization: 0.01 μB per atom.

## Pm5Er7 (PBE)

Data for a relaxed structure of Pm5Er7.

abc: 9.450 9.450 13.102
angles: 117.62 117.62 21.87
Atoms (fractional coordinates):
Pm  0.000  0.000  0.000
Pm  0.165  0.165  0.498
Pm  0.305  0.305  0.249
Pm  0.695  0.695  0.751
Pm  0.835  0.835  0.502
Er  0.028  0.028  0.750
Er  0.334  0.334  0.003
Er  0.363  0.363  0.752
Er  0.500  0.500  0.500
Er  0.637  0.637  0.248
Er  0.666  0.666  0.997
Er  0.972  0.972  0.250

Computed properties:
The crystal system is monoclinic. The density of states at the Fermi level comes out at 15.991 states/eV/f.u. The final energy comes out at -55.6 eV/cell. As for the formation energy: 4.6 meV per atom. As for the total magnetization: 0.00 μB per atom. The value obtained for the energy above the lowest structure with this stoichiometry is 0.000 eV per atom.

## La12Pr2Dy5 (PBE)

Data for a relaxed structure of La12Pr2Dy5.

abc: 8.931 8.931 9.565
angles: 109.63 109.63 83.41
Atoms (fractional coordinates):
La  0.032  0.547  0.691
La  0.066  0.066  0.271
La  0.132  0.657  0.092
La  0.343  0.868  0.908
La  0.396  0.396  0.573
La  0.453  0.968  0.309
La  0.547  0.032  0.691
La  0.604  0.604  0.427
La  0.657  0.132  0.092
La  0.868  0.343  0.908
La  0.934  0.934  0.729
La  0.968  0.453  0.309
Pr  0.215  0.785  0.500
Pr  0.785  0.215  0.500
Dy  0.195  0.195  0.734
Dy  0.286  0.286  0.142
Dy  0.500  0.500  0.000
Dy  0.714  0.714  0.858
Dy  0.805  0.805  0.266

Computed properties:
The crystal system is monoclinic. The density of states at the Fermi level comes out at 29.822 states/eV/f.u. The final energy comes out at -89.8 eV/cell. As for the formation energy: 100.0 meV per atom. As for the total magnetization: 0.00 μB per atom. The value obtained for the energy above the lowest structure with this stoichiometry is 0.014 eV per atom.

## Na2HoF6 (PBE)

Data for a relaxed structure of Na2HoF6.

abc: 6.902 6.902 6.902
angles: 147.42 135.63 56.12
Atoms (fractional coordinates):
Na  0.171  0.171  0.000
Na  0.829  0.829  0.000
Ho  0.500  0.500  0.000
F  0.107  0.344  0.763
F  0.263  0.000  0.263
F  0.419  0.656  0.763
F  0.581  0.344  0.237
F  0.737  0.000  0.737
F  0.893  0.656  0.237

Computed properties:
The crystal system is orthorhombic. The density of states at the Fermi level comes out at 4.764 states/eV/f.u. The final energy comes out at -45.9 eV/cell. The formation energy (no corrections) is -3.05 eV per atom. As for the total magnetization: 0.11 μB per atom.

## LaMg2V3S8 (PBE)

Data for a relaxed structure of LaMg2V3S8.

abc: 7.606 7.606 7.606
angles: 57.84 57.84 57.84
Atoms (fractional coordinates):
La  0.000  0.000  0.000
Mg  0.373  0.373  0.373
Mg  0.627  0.627  0.627
V  0.000  0.000  0.500
V  0.000  0.500  0.000
V  0.500  0.000  0.000
S  0.224  0.738  0.738
S  0.239  0.239  0.239
S  0.262  0.262  0.776
S  0.262  0.776  0.262
S  0.738  0.224  0.738
S  0.738  0.738  0.224
S  0.761  0.761  0.761
S  0.776  0.262  0.262

Computed properties:
The crystal system is trigonal. The density of states at the Fermi level comes out at 14.862 states/eV/f.u. The final energy comes out at -84.7 eV/cell. The formation energy (no corrections) is -1.16 eV per atom. As for the total magnetization: 0.43 μB per atom.

## MgCo2Ru (PBE)

Data for a relaxed structure of MgCo2Ru.

abc: 2.859 2.859 6.552
angles: 90.00 90.00 90.00
Atoms (fractional coordinates):
Mg  0.000  0.000  0.000
Co  0.000  0.000  0.529
Co  0.500  0.500  0.729
Ru  0.500  0.500  0.291

Computed properties:
The crystal system is tetragonal. The density of states at the Fermi level comes out at 4.262 states/eV/f.u. The final energy comes out at -24.4 eV/cell. As for the formation energy: 164.0 meV per atom. As for the total magnetization: 0.96 μB per atom.

## Pu2UAu (PBE)

Data for a relaxed structure of Pu2UAu.

abc: 5.033 5.033 5.033
angles: 60.00 60.00 60.00
Atoms (fractional coordinates):
Pu  0.250  0.250  0.250
Pu  0.750  0.750  0.750
U  0.000  0.000  0.000
Au  0.500  0.500  0.500

Computed properties:
The crystal system is cubic. The density of states at the Fermi level comes out at 11.550 states/eV/f.u. The final energy comes out at -43.0 eV/cell. As for the formation energy: 60.8 meV per atom. As for the total magnetization: 3.53 μB per atom. The value obtained for the energy above the lowest structure with this stoichiometry is 0.103 eV per atom.

## BaAc2LaBi4 (PBE)

Data for a relaxed structure of BaAc2LaBi4.

abc: 8.450 4.878 8.477
angles: 90.00 109.41 90.00
Atoms (fractional coordinates):
Ba  0.000  0.000  0.000
Ac  0.500  0.000  0.500
Ac  0.500  0.500  0.000
La  0.000  0.500  0.500
Bi  0.246  0.000  0.740
Bi  0.254  0.500  0.262
Bi  0.746  0.500  0.738
Bi  0.754  0.000  0.260

Computed properties:
The crystal system is monoclinic. The density of states at the Fermi level comes out at 5.550 states/eV/f.u. The final energy comes out at -38.0 eV/cell. As for the formation energy: -921.2 meV per atom. As for the total magnetization: 0.00 μB per atom.

## Ag2SnHAu (PBE)

Data for a relaxed structure of Ag2SnHAu.

abc: 4.152 4.152 4.847
angles: 90.00 90.00 90.00
Atoms (fractional coordinates):
Ag  0.000  0.500  0.000
Ag  0.500  0.000  0.000
Sn  0.000  0.000  0.500
H  0.000  0.000  0.000
Au  0.500  0.500  0.500

Computed properties:
The crystal system is tetragonal. The density of states at the Fermi level comes out at 1.452 states/eV/f.u. The final energy comes out at -15.5 eV/cell. As for the total magnetization: 0.00 μB per atom. The value obtained for the energy above the lowest structure with this stoichiometry is 0.000 eV per atom.

## VAsPS2 (PBE)

Data for a relaxed structure of VAsPS2.

abc: 4.408 4.408 4.964
angles: 90.00 90.00 90.00
Atoms (fractional coordinates):
V  0.000  0.000  0.000
As  0.500  0.500  0.500
P  0.000  0.000  0.500
S  0.000  0.500  0.000
S  0.500  0.000  0.000

Computed properties:
The crystal system is tetragonal. The density of states at the Fermi level comes out at 3.971 states/eV/f.u. The final energy comes out at -25.9 eV/cell. The formation energy (no corrections) is 0.30 eV per atom. As for the total magnetization: 0.17 μB per atom. The value obtained for the energy above the lowest structure with this stoichiometry is 0.000 eV per atom.

## Pa2NbCo4Si3 (PBE)

Data for a relaxed structure of Pa2NbCo4Si3.

abc: 3.938 3.938 9.838
angles: 90.00 90.00 90.00
Atoms (fractional coordinates):
Pa  0.000  0.500  0.239
Pa  0.500  0.000  0.761
Nb  0.000  0.000  0.500
Co  0.000  0.000  0.000
Co  0.000  0.500  0.643
Co  0.500  0.000  0.357
Co  0.500  0.500  0.000
Si  0.000  0.500  0.875
Si  0.500  0.000  0.125
Si  0.500  0.500  0.500

Computed properties:
The crystal system is tetragonal. The density of states at the Fermi level comes out at 8.146 states/eV/f.u. The final energy comes out at -80.6 eV/cell. The formation energy (no corrections) is -0.68 eV per atom. As for the total magnetization: 0.00 μB per atom.

## YTe2Pt (PBE)

Data for a relaxed structure of YTe2Pt.

abc: 5.145 5.145 5.145
angles: 60.00 60.00 60.00
Atoms (fractional coordinates):
Y  0.000  0.000  0.000
Te  0.250  0.250  0.250
Te  0.750  0.750  0.750
Pt  0.500  0.500  0.500

Computed properties:
The crystal system is cubic. The density of states at the Fermi level comes out at 4.739 states/eV/f.u. The final energy comes out at -20.7 eV/cell. The formation energy (no corrections) is -0.48 eV per atom. As for the total magnetization: 0.00 μB per atom. The value obtained for the energy above the lowest structure with this stoichiometry is 0.449 eV per atom.

## TmHfZr2N4 (PBE)

Data for a relaxed structure of TmHfZr2N4.

abc: 5.677 3.267 5.687
angles: 90.00 109.25 90.00
Atoms (fractional coordinates):
Tm  0.000  0.000  0.000
Hf  0.500  0.500  0.000
Zr  0.000  0.500  0.500
Zr  0.500  0.000  0.500
N  0.260  0.500  0.250
N  0.261  0.000  0.757
N  0.739  0.000  0.243
N  0.740  0.500  0.750

Computed properties:
The crystal system is monoclinic. The density of states at the Fermi level comes out at 1.037 states/eV/f.u. The final energy comes out at -78.9 eV/cell. The formation energy (no corrections) is -1.76 eV per atom. As for the total magnetization: 0.00 μB per atom.

## CoRuRhW (PBE)

Data for a relaxed structure of CoRuRhW.

abc: 3.743 3.759 3.859
angles: 90.00 90.00 90.00
Atoms (fractional coordinates):
Co  0.000  0.000  0.000
Ru  0.500  0.000  0.500
Rh  0.500  0.500  0.000
W  0.000  0.500  0.500

Computed properties:
The crystal system is orthorhombic. The density of states at the Fermi level comes out at 2.652 states/eV/f.u. The final energy comes out at -37.0 eV/cell. As for the formation energy: -87.8 meV per atom. As for the total magnetization: 0.00 μB per atom.

## TcSn2O (PBE)

Data for a relaxed structure of TcSn2O.

abc: 5.743 5.743 5.743
angles: 111.98 111.98 104.57
Atoms (fractional coordinates):
Tc  0.000  0.000  0.000
Tc  0.750  0.250  0.500
Sn  0.179  0.625  0.054
Sn  0.375  0.429  0.554
Sn  0.571  0.125  0.946
Sn  0.875  0.821  0.446
O  0.250  0.750  0.500
O  0.500  0.500  0.000

Computed properties:
The crystal system is tetragonal. The density of states at the Fermi level comes out at 2.765 states/eV/f.u. The final energy comes out at -47.1 eV/cell. The formation energy (no corrections) is -0.06 eV per atom. As for the total magnetization: 0.20 μB per atom.

## NaMgCdPt (PBE)

Data for a relaxed structure of NaMgCdPt.

abc: 4.744 4.744 4.744
angles: 60.00 60.00 60.00
Atoms (fractional coordinates):
Na  0.000  0.000  0.000
Mg  0.250  0.250  0.250
Cd  0.750  0.750  0.750
Pt  0.500  0.500  0.500

Computed properties:
The crystal system is cubic. The density of states at the Fermi level comes out at 1.662 states/eV/f.u. The final energy comes out at -11.3 eV/cell. As for the formation energy: -352.0 meV per atom. As for the total magnetization: 0.00 μB per atom.

## ScPaRe2 (PBE)

Data for a relaxed structure of ScPaRe2.

abc: 4.738 4.738 3.361
angles: 90.00 90.00 90.00
Atoms (fractional coordinates):
Sc  0.000  0.000  0.000
Pa  0.500  0.500  0.000
Re  0.000  0.500  0.500
Re  0.500  0.000  0.500

Computed properties:
The crystal system is tetragonal. The density of states at the Fermi level comes out at 4.134 states/eV/f.u. The final energy comes out at -41.1 eV/cell. As for the formation energy: -84.6 meV per atom. As for the total magnetization: 0.00 μB per atom. The value obtained for the energy above the lowest structure with this stoichiometry is 0.027 eV per atom.